CaSiSe | PBE | relaxed

a b c (Å): 5.999 5.999 5.999
angles (deg): 141.80 141.80 55.13
Fractional positions:
1 Ca 0.000 0.000 0.000
2 Si 0.359 0.359 0.000
3 Se 0.585 0.585 0.000

Values from the calculation:
Space-group type: I4mm, No. 107
E_form (uncorrected) (eV/atom): -0.5260
VASP energy (eV/atom): -4.1623